Below is LiZn3Cu3 after structural relaxation, with properties calculated at the PBE level.

Values from the calculation:
DFT formation energy: 12 meV per atom
Offset from the most stable computed form: 75.2 meV/atom
SG: R-3

a = 6.789 Å, b = 6.789 Å, c = 6.789 Å
α = 55.73°, β = 55.73°, γ = 55.73°
Atoms (fractional coordinates):
Li1 0.165 0.165 0.165
Li2 0.835 0.835 0.835
Zn1 0.208 0.697 0.409
Zn2 0.303 0.591 0.792
Zn3 0.409 0.208 0.697
Zn4 0.591 0.792 0.303
Zn5 0.697 0.409 0.208
Zn6 0.792 0.303 0.591
Cu1 0.072 0.560 0.247
Cu2 0.247 0.072 0.560
Cu3 0.440 0.753 0.928
Cu4 0.560 0.247 0.072
Cu5 0.753 0.928 0.440
Cu6 0.928 0.440 0.753

=====

Below is K2PuAgCl5 after structural relaxation, with properties calculated at the PBE level.

Values from the calculation:
SG: P4/mmm

a = 5.001 Å, b = 5.001 Å, c = 11.835 Å
α = 90.00°, β = 90.00°, γ = 90.00°
Atoms (fractional coordinates):
K1 0.000 0.000 0.177
K2 0.000 0.000 0.823
Pu1 0.500 0.500 0.500
Ag1 0.500 0.500 0.000
Cl1 0.000 0.000 0.500
Cl2 0.000 0.500 0.000
Cl3 0.500 0.000 0.000
Cl4 0.500 0.500 0.272
Cl5 0.500 0.500 0.728

=====

Below is AlZn2Os after structural relaxation, with properties calculated at the PBE level.

Values from the calculation:
DFT formation energy: 41 meV per atom
SG: R3m

a = 8.605 Å, b = 8.605 Å, c = 8.605 Å
α = 18.98°, β = 18.98°, γ = 18.98°
Atoms (fractional coordinates):
Al1 0.000 0.000 0.000
Zn1 0.249 0.249 0.249
Zn2 0.498 0.498 0.498
Os1 0.746 0.746 0.746

=====

Below is NiBPC after structural relaxation, with properties calculated at the PBE level.

Values from the calculation:
DFT formation energy: 151 meV per atom
Offset from the most stable computed form: 85.2 meV/atom
SG: Pm

a = 2.723 Å, b = 2.788 Å, c = 5.292 Å
α = 90.00°, β = 94.51°, γ = 90.00°
Atoms (fractional coordinates):
Ni1 0.000 0.000 0.000
B1 0.901 0.500 0.294
P1 0.457 0.000 0.675
C1 0.428 0.500 0.456

=====

| no. | DFT total energy (eV per atom) | density (g cm⁻³) |
| --- | --- | --- |
| 1 | -2.56 | 6.561 |
| 2 | -4.55 | 3.408 |
| 3 | -4.34 | 9.809 |
| 4 | -6.62 | 4.664 |